# CrBiSbO6

CrBiSbO6 after structural relaxation (PBE+U, Alexandria).

a b c (Å): 4.844 4.844 9.779
angles (deg): 90.00 90.00 90.00
Atoms (fractional coordinates):
1 Cr 0.000 0.000 0.000
2 Cr 0.500 0.500 0.500
3 Bi 0.000 0.000 0.669
4 Bi 0.500 0.500 0.169
5 Sb 0.000 0.000 0.337
6 Sb 0.500 0.500 0.837
7 O 0.175 0.175 0.170
8 O 0.202 0.202 0.487
9 O 0.204 0.204 0.849
10 O 0.296 0.704 0.349
11 O 0.298 0.702 0.987
12 O 0.325 0.675 0.670
13 O 0.675 0.325 0.670
14 O 0.702 0.298 0.987
15 O 0.704 0.296 0.349
16 O 0.796 0.796 0.849
17 O 0.798 0.798 0.487
18 O 0.825 0.825 0.170

Properties
Total magnetization (μB/atom): 0.29
Density (g/cm³): 6.93
Raw total energy (eV per atom): -6.42
Crystal system: tetragonal